(1)
Here is LaRuRh2I after structural relaxation from Alexandria. Energies are from PBE.

a b c (Å): 4.7537 4.7537 5.6843
angles (deg): 90.00 90.00 90.00
With the nearest neighbours (Å) after each atom.
Fractional coordinates of all 5 atoms:
La 0.0000 0.0000 0.0000  2 Ru 2.84
Ru 0.0000 0.0000 0.5000  4 Rh 2.38
Rh 0.0000 0.5000 0.5000  2 Ru 2.38
Rh 0.5000 0.0000 0.5000  2 Ru 2.38
I 0.5000 0.5000 0.0000  4 La 3.36, 8 Rh 3.71

Summary:
The calculation puts the uncorrected formation energy at 0.387 eV/atom.

---

(2)
Here is La8Rh3SI4 after structural relaxation from Alexandria. Energies are from PBE.

a b c (Å): 9.5221 9.5221 9.5221
angles (deg): 53.29 53.29 53.29
With the nearest neighbours (Å) after each atom.
Fractional coordinates of all 16 atoms:
La 0.2208 0.7344 0.7344  2 Rh 2.88, 1 S 2.97
La 0.2289 0.2289 0.2289  3 Rh 2.90
La 0.2656 0.2656 0.7792  2 Rh 2.88, 1 S 2.97
La 0.2656 0.7792 0.2656  2 Rh 2.88, 1 S 2.97
La 0.7344 0.2208 0.7344  2 Rh 2.88, 1 S 2.97
La 0.7344 0.7344 0.2208  2 Rh 2.88, 1 S 2.97
La 0.7711 0.7711 0.7711  3 Rh 2.90
La 0.7792 0.2656 0.2656  2 Rh 2.88, 1 S 2.97
Rh 0.0000 0.0000 0.5000  6 La 2.88-2.90
Rh 0.0000 0.5000 0.0000  6 La 2.88-2.90
Rh 0.5000 0.0000 0.0000  6 La 2.88-2.90
S 0.5000 0.5000 0.5000  6 La 2.97
I 0.0000 0.0000 0.0000  6 La 3.48
I 0.0000 0.5000 0.5000  6 La 3.55
I 0.5000 0.0000 0.5000  6 La 3.55
I 0.5000 0.5000 0.0000  6 La 3.55

Summary:
The calculation puts the uncorrected formation energy at -1.146 eV/atom.

---

(3)
Here is La6Rh2SI3 after structural relaxation from Alexandria. Energies are from PBE.

a b c (Å): 7.4104 7.4104 8.4651
angles (deg): 98.35 98.35 120.01
With the nearest neighbours (Å) after each atom.
Fractional coordinates of all 12 atoms:
La 0.0914 0.4355 0.8100  2 Rh 2.87-2.88, 1 S 2.98
La 0.2186 0.2186 0.1901  2 Rh 2.88, 1 S 2.98
La 0.4355 0.0914 0.8100  2 Rh 2.87-2.88, 1 S 2.98
La 0.5645 0.9086 0.1900  2 Rh 2.87-2.88, 1 S 2.98
La 0.7814 0.7814 0.8099  2 Rh 2.88, 1 S 2.98
La 0.9086 0.5645 0.1900  2 Rh 2.87-2.88, 1 S 2.98
Rh 0.1670 0.8330 0.0000  6 La 2.87-2.88
Rh 0.8330 0.1670 0.0000  6 La 2.87-2.88
S 0.5000 0.5000 0.0000  6 La 2.98
I 0.0000 0.0000 0.5000  6 La 3.46-3.55
I 0.3354 0.6646 0.5000  6 La 3.48-3.55
I 0.6646 0.3354 0.5000  6 La 3.48-3.55

Summary:
The calculation puts the uncorrected formation energy at -1.200 eV/atom.